(1)
VASP calculation (GGA-PBE) on Sr2PrZn2 after structural relaxation.

Output
Calculated total energy = -9.35 eV per cell

abc: 4.835 4.835 8.006
angles: 107.58 107.58 90.00
Atoms (fractional coordinates):
Zn 0.750 0.250 0.500
Zn 0.250 0.750 0.500
Pr 0.000 0.000 0.000
Sr 0.622 0.622 0.244
Sr 0.378 0.378 0.756

=====

(2)
VASP calculation (GGA-PBE) on ErTcTe after structural relaxation.

Output
Calculated total energy = -17.75 eV per cell

abc: 4.679 4.679 4.679
angles: 60.00 60.00 60.00
Atoms (fractional coordinates):
Er 0.250 0.250 0.250
Tc 0.750 0.750 0.750
Te 0.000 0.000 0.000

=====

(3)
VASP calculation (GGA-PBE) on PrTePO after structural relaxation.

Output
ΔE to the lowest computed polymorph = 32 meV per atom

abc: 5.800 6.697 5.823
angles: 90.00 90.00 90.00
Atoms (fractional coordinates):
Te 0.500 0.191 0.563
Te 0.500 0.809 0.063
Pr 0.000 0.696 0.418
Pr 0.000 0.304 0.918
P 0.500 0.186 0.000
P 0.500 0.814 0.500
O 0.000 0.403 0.272
O 0.000 0.597 0.772

=====

(4)
VASP calculation (GGA-PBE) on AgAu after structural relaxation.

Output
DFT formation energy = -62 meV per atom

abc: 2.897 2.897 4.242
angles: 90.00 90.00 90.00
Atoms (fractional coordinates):
Au 0.500 0.500 0.000
Ag 0.000 0.000 0.500